# KCuIr3 GGA-PBE optimized geometry
data_KCuIr3
_cell_length_a 4.642
_cell_length_b 4.642
_cell_length_c 4.642
_cell_angle_alpha 90.00
_cell_angle_beta 90.00
_cell_angle_gamma 90.00
_space_group_name_H-M_alt 'P m -3 m'
_space_group_IT_number 221
_space_group_name_Hall '-P 4 2 3'
loop_
_atom_site_label
_atom_site_fract_x
_atom_site_fract_y
_atom_site_fract_z
_atom_site_occupancy
K1 0.000 0.000 0.000 1
Cu1 0.500 0.500 0.500 1
Ir1 0.000 0.500 0.500 1
# energy above the lowest structure with this stoichiometry	0.00	kJ/mol of atoms
# total energy	-24.069	eV per formula unit
# Fermi-level density of states	5.809	states/eV per cell



# LiLa2Zn4Si3 GGA-PBE optimized geometry
data_LiLa2Zn4Si3
_cell_length_a 4.230
_cell_length_b 4.230
_cell_length_c 10.523
_cell_angle_alpha 90.00
_cell_angle_beta 90.00
_cell_angle_gamma 90.00
_space_group_name_H-M_alt 'P -4 m 2'
_space_group_IT_number 115
loop_
_space_group_symop_operation_xyz
'x,y,z'
'y,-x,-z'
'-x,-y,z'
'-y,x,-z'
'-x,y,z'
'-y,-x,-z'
'x,-y,z'
'y,x,-z'
loop_
_atom_site_label
_atom_site_fract_x
_atom_site_fract_y
_atom_site_fract_z
_atom_site_occupancy
Li1 0.000 0.000 0.000 1
La1 0.000 0.500 0.745 1
Zn1 0.000 0.000 0.500 1
Zn2 0.000 0.500 0.128 1
Zn3 0.500 0.500 0.500 1
Si1 0.000 0.500 0.362 1
Si2 0.500 0.500 0.000 1
# E_form (uncorrected)	-0.445	eV/atom
# total energy	-37.588	eV per formula unit
# Fermi-level density of states	2.830	states/eV per cell